(1)
The following is a PBE calculation of a relaxed K2Cd3Au4 crystal, from Alexandria.

a b c (Å): 6.318 5.936 17.653
angles (deg): 84.53 79.69 57.85
Fractional positions:
Au: 0.056 0.172 0.373
K: 0.161 0.500 0.678
K: 0.411 0.000 0.178
Cd: 0.514 0.500 0.971
Au: 0.571 0.828 0.373
K: 0.339 0.500 0.322
Au: 0.179 0.672 0.127
Cd: 0.764 0.000 0.471
Au: 0.149 0.672 0.873
Au: 0.601 0.828 0.627
Cd: 0.000 0.000 0.000
Cd: 0.236 0.000 0.529
Cd: 0.986 0.500 0.029
Au: 0.694 0.328 0.127
K: 0.589 0.000 0.822
Cd: 0.750 0.500 0.500
Au: 0.978 0.328 0.873
Au: 0.772 0.172 0.627

E above lowest polymorph	156	meV/atom
energy of formation	-0.070	eV/atom
volume	30.64	Å³/atom
calculated density	7.2	g cm⁻³

=====

(2)
The following is a PBE calculation of a relaxed KCd8Au2 crystal, from Alexandria.

a b c (Å): 6.069 6.069 9.890
angles (deg): 90.00 90.00 90.00
Fractional positions:
Cd: 0.248 0.752 0.196
Cd: 0.752 0.248 0.804
Cd: 0.248 0.752 0.804
Cd: 0.248 0.248 0.804
Cd: 0.752 0.752 0.196
Au: 0.500 0.000 0.000
K: 0.500 0.500 0.500
Cd: 0.248 0.248 0.196
Cd: 0.752 0.248 0.196
Cd: 0.752 0.752 0.804
Au: 0.000 0.500 0.000

energy of formation	0.030	eV/atom
volume	33.11	Å³/atom
calculated density	6.1	g cm⁻³

=====

(3)
The following is a PBE calculation of a relaxed K7Cd2Au2 crystal, from Alexandria.

a b c (Å): 7.105 9.273 9.273
angles (deg): 115.51 95.40 95.40
Fractional positions:
K: 0.254 0.377 0.973
K: 0.746 0.623 0.027
Cd: 0.500 0.627 0.373
K: 0.204 0.662 0.662
Au: 0.284 0.321 0.321
K: 0.000 0.000 0.000
K: 0.254 0.973 0.377
Au: 0.716 0.679 0.679
K: 0.796 0.338 0.338
K: 0.746 0.027 0.623
Cd: 0.500 0.373 0.627

E above lowest polymorph	12	meV/atom
energy of formation	-0.090	eV/atom
volume	49.35	Å³/atom
calculated density	2.7	g cm⁻³

=====

(4)
The following is a PBE calculation of a relaxed K2Cd2Au15 crystal, from Alexandria.

a b c (Å): 7.412 7.412 7.412
angles (deg): 83.07 83.07 83.07
Fractional positions:
Au: 0.344 0.846 0.344
Au: 0.306 0.000 0.694
Au: 0.656 0.656 0.154
Au: 0.694 0.306 0.000
Cd: 0.899 0.899 0.899
Au: 0.000 0.500 0.000
Au: 0.846 0.344 0.344
K: 0.349 0.349 0.349
Cd: 0.101 0.101 0.101
K: 0.651 0.651 0.651
Au: 0.500 0.000 0.000
Au: 0.000 0.000 0.500
Au: 0.344 0.344 0.846
Au: 0.656 0.154 0.656
Au: 0.000 0.306 0.694
Au: 0.000 0.694 0.306
Au: 0.306 0.694 0.000
Au: 0.154 0.656 0.656
Au: 0.694 0.000 0.306

energy of formation	-0.153	eV/atom
volume	21.00	Å³/atom
calculated density	13.6	g cm⁻³

=====

(5)
The following is a PBE calculation of a relaxed KCd6Au4 crystal, from Alexandria.

a b c (Å): 4.491 8.135 8.135
angles (deg): 120.00 90.00 90.00
Fractional positions:
Cd: 0.000 0.534 0.466
K: 0.000 0.000 0.000
Au: 0.500 0.795 0.590
Cd: 0.500 0.198 0.802
Au: 0.500 0.410 0.205
Au: 0.500 0.795 0.205
Cd: 0.000 0.932 0.466
Cd: 0.000 0.534 0.068
Cd: 0.500 0.198 0.396
Au: 0.000 0.333 0.667
Cd: 0.500 0.604 0.802

energy of formation	-0.208	eV/atom
volume	23.40	Å³/atom
calculated density	9.7	g cm⁻³

=====

(6)
The following is a PBE calculation of a relaxed K12Cd2Au5 crystal, from Alexandria.

a b c (Å): 9.217 8.956 12.076
angles (deg): 86.23 90.00 120.97
Fractional positions:
Au: 0.369 0.739 0.982
Au: 0.631 0.261 0.018
Au: 0.254 0.509 0.348
K: 0.599 0.732 0.515
K: 0.133 0.732 0.515
K: 0.048 0.095 0.214
K: 0.998 0.454 0.851
K: 0.456 0.454 0.851
K: 0.002 0.546 0.149
Au: 0.000 0.000 0.500
K: 0.952 0.905 0.786
Au: 0.746 0.491 0.652
K: 0.401 0.268 0.485
K: 0.524 0.048 0.767
K: 0.476 0.952 0.233
Cd: 0.270 0.000 0.000
Cd: 0.730 0.000 0.000
K: 0.867 0.268 0.485
K: 0.544 0.546 0.149

energy of formation	-0.162	eV/atom
volume	44.85	Å³/atom
calculated density	3.3	g cm⁻³

=====

(7)
The following is a PBE calculation of a relaxed K3Cd5Au3 crystal, from Alexandria.

a b c (Å): 6.328 8.553 8.553
angles (deg): 120.00 90.00 90.00
Fractional positions:
Au: 0.500 0.000 0.654
Cd: 0.500 0.000 0.300
K: 0.000 0.000 0.658
K: 0.000 0.658 0.000
Au: 0.500 0.654 0.000
Cd: 0.500 0.667 0.333
Cd: 0.500 0.300 0.000
K: 0.000 0.342 0.342
Cd: 0.500 0.333 0.667
Cd: 0.500 0.700 0.700
Au: 0.500 0.346 0.346

energy of formation	-0.157	eV/atom
volume	36.45	Å³/atom
calculated density	5.3	g cm⁻³

=====

(8)
The following is a PBE calculation of a relaxed K2CdAu3 crystal, from Alexandria.

a b c (Å): 6.586 6.586 9.614
angles (deg): 111.52 111.52 85.93
Fractional positions:
K: 0.250 0.750 0.500
Au: 0.166 0.166 0.833
K: 0.750 0.250 0.500
Cd: 0.666 0.666 0.332
Cd: 0.334 0.334 0.668
Au: 0.167 0.167 0.335
K: 0.756 0.244 0.000
Au: 0.333 0.333 0.167
Au: 0.667 0.667 0.833
Au: 0.834 0.834 0.167
K: 0.244 0.756 0.000
Au: 0.833 0.833 0.665

E above lowest polymorph	14	meV/atom
energy of formation	-0.250	eV/atom
volume	29.99	Å³/atom
calculated density	7.2	g cm⁻³

=====

Repeat the eighth record exactly.
The following is a PBE calculation of a relaxed K2CdAu3 crystal, from Alexandria.

a b c (Å): 6.586 6.586 9.614
angles (deg): 111.52 111.52 85.93
Fractional positions:
K: 0.250 0.750 0.500
Au: 0.166 0.166 0.833
K: 0.750 0.250 0.500
Cd: 0.666 0.666 0.332
Cd: 0.334 0.334 0.668
Au: 0.167 0.167 0.335
K: 0.756 0.244 0.000
Au: 0.333 0.333 0.167
Au: 0.667 0.667 0.833
Au: 0.834 0.834 0.167
K: 0.244 0.756 0.000
Au: 0.833 0.833 0.665

E above lowest polymorph	14	meV/atom
energy of formation	-0.250	eV/atom
volume	29.99	Å³/atom
calculated density	7.2	g cm⁻³

=====

- Look up the volume of the eighth one.
  29.99 Å³/atom